Record 1
A relaxed structure of Pm2GdPu. Source: the Alexandria database, functional PBE.

Values from the calculation:
E_form, eV/atom: 0.18
DOS(E_F), states/eV/atom: 2.75
Theoretical density, Mg/m³: 8.932

Cell: 3.9915 3.9915 8.0664 Å, 90.00 90.00 90.00°
Last column: nearest neighbours and their distance in Å.
Atoms (fractional coordinates):
Pm1 0.0000 0.0000 0.2364  4 Pu 3.41, 4 Gd 3.53, 1 Pm 3.81
Pm2 0.0000 0.0000 0.7636  4 Pu 3.41, 4 Gd 3.53, 1 Pm 3.81
Gd1 0.5000 0.5000 0.5000  8 Pm 3.53
Pu1 0.5000 0.5000 0.0000  8 Pm 3.41


Record 2
A relaxed structure of HoMgSc2. Source: the Alexandria database, functional PBE.

Values from the calculation:
E_form, eV/atom: 0.07
DOS(E_F), states/eV/atom: 1.55
Theoretical density, Mg/m³: 4.468

Cell: 3.3386 7.8708 10.4858 Å, 82.22 129.59 102.24°
Last column: nearest neighbours and their distance in Å.
Atoms (fractional coordinates):
Sc1 0.9802 0.1991 0.4404  4 Sc 3.08-3.34, 4 Mg 3.13-3.17, 3 Ho 3.32-3.33
Sc2 0.2186 0.1995 0.0597  4 Sc 3.08-3.34, 4 Mg 3.12-3.17, 3 Ho 3.32-3.33
Sc3 0.0198 0.8009 0.5596  4 Sc 3.08-3.34, 4 Mg 3.13-3.17, 3 Ho 3.32-3.33
Sc4 0.7814 0.8005 0.9403  4 Sc 3.08-3.34, 4 Mg 3.12-3.17, 3 Ho 3.32-3.33
Ho1 0.7423 0.4849 0.7498  6 Sc 3.32-3.33, 2 Ho 3.34, 2 Mg 3.47-3.48
Ho2 0.2577 0.5151 0.2502  6 Sc 3.32-3.33, 2 Ho 3.34, 2 Mg 3.47-3.48
Mg1 0.9553 0.9114 0.2497  8 Sc 3.12-3.17, 2 Mg 3.34, 2 Ho 3.47-3.48
Mg2 0.0447 0.0886 0.7503  8 Sc 3.12-3.17, 2 Mg 3.34, 2 Ho 3.47-3.48


Record 3
A relaxed structure of SrH. Source: the Alexandria database, functional PBE.

Values from the calculation:
Electronic total energy, eV/atom: -2.7987
DOS(E_F), states/eV/atom: 0.39
Theoretical density, Mg/m³: 2.688

Cell: 10.3227 10.3227 4.1108 Å, 90.00 90.00 90.00°
Last column: nearest neighbours and their distance in Å.
Atoms (fractional coordinates):
Sr1 0.2485 0.5838 0.5000  4 H 2.43-2.46
Sr2 0.9312 0.6879 0.0000  4 H 2.49-2.51
Sr3 0.5838 0.7515 0.5000  4 H 2.43-2.46
Sr4 0.6879 0.0688 0.0000  4 H 2.49-2.51
Sr5 0.7515 0.4162 0.5000  4 H 2.43-2.46
Sr6 0.4162 0.2485 0.5000  4 H 2.43-2.46
Sr7 0.0688 0.3121 0.0000  4 H 2.49-2.51
Sr8 0.3121 0.9312 0.0000  4 H 2.49-2.51
H1 0.3522 0.7988 0.5000  4 Sr 2.44-2.50
H2 0.6478 0.2012 0.5000  4 Sr 2.44-2.50
H3 0.5458 0.8711 0.0000  4 Sr 2.43-2.51
H4 0.4542 0.1289 0.0000  4 Sr 2.43-2.51
H5 0.1289 0.5458 0.0000  4 Sr 2.43-2.51
H6 0.2012 0.3522 0.5000  4 Sr 2.44-2.50
H7 0.8711 0.4542 0.0000  4 Sr 2.43-2.51
H8 0.7988 0.6478 0.5000  4 Sr 2.44-2.50


Record 4
A relaxed structure of DyHo2Tl. Source: the Alexandria database, functional PBE.

Values from the calculation:
E_form, eV/atom: -0.16
DOS(E_F), states/eV/atom: 1.28
Theoretical density, Mg/m³: 9.783

Cell: 3.6228 6.6494 10.2048 Å, 90.00 90.00 105.81°
Last column: nearest neighbours and their distance in Å.
Atoms (fractional coordinates):
Ho1 0.3695 0.7388 0.5306  3 Tl 3.23-3.28, 3 Ho 3.40-3.61, 4 Dy 3.58-3.61
Ho2 0.6305 0.2612 0.4694  3 Tl 3.23-3.28, 3 Ho 3.40-3.61, 4 Dy 3.58-3.61
Ho3 0.6305 0.2612 0.0306  3 Tl 3.23-3.28, 3 Ho 3.40-3.61, 4 Dy 3.58-3.61
Ho4 0.3695 0.7388 0.9694  3 Tl 3.23-3.28, 3 Ho 3.40-3.61, 4 Dy 3.58-3.61
Tl1 0.2443 0.4885 0.2500  6 Ho 3.23-3.28, 2 Dy 3.31
Tl2 0.7557 0.5115 0.7500  6 Ho 3.23-3.28, 2 Dy 3.31
Dy1 0.9610 0.9217 0.2500  3 Tl 3.31-3.63, 8 Ho 3.58-3.61, 2 Dy 3.62
Dy2 0.0390 0.0783 0.7500  3 Tl 3.31-3.63, 8 Ho 3.58-3.61, 2 Dy 3.62


Record 5
A relaxed structure of SnHRh4. Source: the Alexandria database, functional PBE.

Values from the calculation:
Electronic total energy, eV/atom: -6.1724
DOS(E_F), states/eV/atom: 1.18
Theoretical density, Mg/m³: 10.145

Cell: 3.8374 3.8739 6.1654 Å, 71.61 90.00 90.00°
Last column: nearest neighbours and their distance in Å.
Atoms (fractional coordinates):
Rh1 0.5013 0.1378 0.6327  2 H 1.94
Rh2 0.5014 0.8073 0.2948  8 Rh 2.69-2.77, 2 Sn 2.74
Rh3 0.0013 0.6458 0.6171  2 H 1.97-1.98
Rh4 0.0014 0.3064 0.2969  1 H 2.26
H1 0.0011 0.1139 0.6832  4 Rh 1.94-1.98
Sn1 0.5013 0.4725 0.9640  8 Rh 2.73-2.79


Record 6
A relaxed structure of Ce5Al2Co. Source: the Alexandria database, functional PBE.

Values from the calculation:
E_form, eV/atom: -0.15
DOS(E_F), states/eV/atom: 2.14
Theoretical density, Mg/m³: 7.169

Cell: 7.6501 7.4118 6.1113 Å, 125.16 126.22 91.90°
Last column: nearest neighbours and their distance in Å.
Atoms (fractional coordinates):
Co1 0.1844 0.0687 0.3291  1 Ce 2.22
Ce1 0.7759 0.2067 0.9949  1 Ce 2.73
Ce2 0.2466 0.2823 0.9559  1 Ce 2.73, 1 Co 2.87, 1 Al 3.05
Ce3 0.7219 0.6120 0.3375  3 Ce 2.73, 1 Al 3.04
Ce4 0.6114 0.6937 0.9007  1 Ce 2.73
Ce5 0.2998 0.8313 0.0713  1 Co 2.22
Al1 0.7770 0.3318 0.5691  1 Al 2.75, 3 Ce 3.04-3.07
Al2 0.1600 0.7506 0.3954  1 Co 2.63, 1 Al 2.75


Record 7
A relaxed structure of AcSiBiAu. Source: the Alexandria database, functional PBE.

Values from the calculation:
Formation energy (no corrections), eV per atom: -0.288
DOS(E_F), states/eV/atom: 0.76
Theoretical density, Mg/m³: 10.274

Cell: 5.3262 5.3262 5.3262 Å, 60.00 60.00 60.00°
Last column: nearest neighbours and their distance in Å.
Atoms (fractional coordinates):
Au1 0.5000 0.5000 0.5000  4 Ac 3.26, 4 Bi 3.26
Bi1 0.7500 0.7500 0.7500  4 Si 3.26, 4 Au 3.26
Si1 0.0000 0.0000 0.0000  4 Ac 3.26, 4 Bi 3.26
Ac1 0.2500 0.2500 0.2500  4 Si 3.26, 4 Au 3.26


Record 8
A relaxed structure of BaPdS. Source: the Alexandria database, functional PBE.

Values from the calculation:
Formation energy (no corrections), eV per atom: -1.197
DOS(E_F), states/eV/atom: 0.00
Theoretical density, Mg/m³: 5.443

Cell: 4.5767 4.5601 9.2475 Å, 108.46 94.76 109.79°
Last column: nearest neighbours and their distance in Å.
Atoms (fractional coordinates):
S1 0.5337 0.5393 0.4689  4 Pd 2.33-2.44
S2 0.4320 0.9174 0.0016  6 Ba 3.13-3.41
Pd1 0.0236 0.4487 0.5139  2 S 2.33-2.44
Pd2 0.4347 0.0489 0.5193  2 S 2.33-2.43
Ba1 0.8677 0.7449 0.2127  4 S 3.13-3.41, 2 Pd 3.25-3.32
Ba2 0.9922 0.1042 0.7929  4 S 3.17-3.38, 4 Pd 3.33-3.41


Record 9
A relaxed structure of In2CoPRu. Source: the Alexandria database, functional PBE.

Values from the calculation:
E_form, eV/atom: 0.80
DOS(E_F), states/eV/atom: 0.72
Theoretical density, Mg/m³: 6.822

Cell: 4.8122 4.4213 4.8122 Å, 90.00 90.00 90.00°
Last column: nearest neighbours and their distance in Å.
Atoms (fractional coordinates):
P1 0.5000 0.5000 0.5000  8 In 3.27, 4 Ru 3.40
Co1 0.0000 0.0000 0.0000  2 Ru 2.21, 4 In 2.41
In1 0.0000 0.0000 0.5000  2 Co 2.41
In2 0.5000 0.0000 0.0000  2 Co 2.41
Ru1 0.0000 0.5000 0.0000  2 Co 2.21


Record 10
A relaxed structure of HfTa3N6. Source: the Alexandria database, functional PBE.

Values from the calculation:
Formation energy (no corrections), eV per atom: -1.169
DOS(E_F), states/eV/atom: 0.25
Theoretical density, Mg/m³: 12.112

Cell: 3.0887 8.7453 8.5968 Å, 108.01 90.00 90.00°
Last column: nearest neighbours and their distance in Å.
Atoms (fractional coordinates):
Ta1 0.2500 0.4844 0.3154  6 N 2.02-2.23
Ta2 0.2500 0.9193 0.8322  6 N 2.04-2.16
Ta3 0.7500 0.0807 0.1678  6 N 2.04-2.16
Ta4 0.2500 0.1738 0.5691  6 N 2.04-2.18
Ta5 0.7500 0.5156 0.6846  6 N 2.02-2.23
Ta6 0.7500 0.8262 0.4309  6 N 2.04-2.18
N1 0.2500 0.2447 0.1985  3 Ta 2.02-2.07
N2 0.7500 0.2684 0.7362  3 Ta 2.10-2.34, 2 Hf 2.35
N3 0.2500 0.7316 0.2638  3 Ta 2.10-2.34, 2 Hf 2.35
N4 0.7500 0.4635 0.1235  2 Ta 2.23, 3 Hf 2.27-2.28
N5 0.7500 0.0937 0.9211  3 Ta 2.14-2.16, 2 Hf 2.39
N6 0.2500 0.9354 0.6010  4 Ta 2.04-2.18
N7 0.2500 0.3893 0.5248  4 Ta 2.04-2.20
N8 0.7500 0.7553 0.8015  3 Ta 2.02-2.07
N9 0.7500 0.6107 0.4752  4 Ta 2.04-2.20
N10 0.2500 0.9063 0.0789  3 Ta 2.14-2.16, 2 Hf 2.39
N11 0.7500 0.0646 0.3990  4 Ta 2.04-2.18
N12 0.2500 0.5365 0.8765  2 Ta 2.23, 3 Hf 2.27-2.28
Hf1 0.2500 0.3088 0.9507  8 N 2.27-2.39
Hf2 0.7500 0.6912 0.0493  8 N 2.27-2.39


Record 11
A relaxed structure of Sr2SnRhO6. Source: the Alexandria database, functional PBE.

Values from the calculation:
Formation energy (no corrections), eV per atom: -1.876
DOS(E_F), states/eV/atom: 0.65
Theoretical density, Mg/m³: 6.181

Cell: 5.7191 5.7319 8.0779 Å, 90.00 90.22 90.00°
Last column: nearest neighbours and their distance in Å.
Atoms (fractional coordinates):
O1 0.5740 0.0157 0.2531  1 Rh 2.04, 1 Sn 2.09
O2 0.7839 0.7892 0.5391  1 Rh 2.05, 1 Sn 2.09
O3 0.2839 0.7108 0.0391  1 Rh 2.05, 1 Sn 2.09
O4 0.7161 0.2892 0.9609  1 Rh 2.05, 1 Sn 2.09
O5 0.7090 0.2847 0.5388  1 Rh 2.05, 1 Sn 2.10
O6 0.2161 0.2108 0.4609  1 Rh 2.05, 1 Sn 2.09
O7 0.9260 0.5157 0.2469  1 Rh 2.04, 1 Sn 2.09
O8 0.7910 0.7847 0.9612  1 Rh 2.05, 1 Sn 2.10
O9 0.2910 0.7153 0.4612  1 Rh 2.05, 1 Sn 2.10
O10 0.4260 0.9843 0.7469  1 Rh 2.04, 1 Sn 2.09
O11 0.2090 0.2153 0.0388  1 Rh 2.05, 1 Sn 2.10
O12 0.0740 0.4843 0.7531  1 Rh 2.04, 1 Sn 2.09
Rh1 0.5000 0.0000 0.5000  6 O 2.04-2.05
Rh2 0.0000 0.5000 0.0000  6 O 2.04-2.05
Sn1 0.5000 0.0000 0.0000  6 O 2.09-2.10
Sn2 0.0000 0.5000 0.5000  6 O 2.09-2.10
Sr1 0.5070 0.5348 0.7493  6 O 2.49-2.76
Sr2 0.0070 0.9652 0.2493  6 O 2.49-2.76
Sr3 0.4930 0.4652 0.2507  6 O 2.49-2.76
Sr4 0.9930 0.0348 0.7507  6 O 2.49-2.76


Record 12
A relaxed structure of Y5W. Source: the Alexandria database, functional PBE.

Values from the calculation:
E_form, eV/atom: 1.10
DOS(E_F), states/eV/atom: 1.39
Theoretical density, Mg/m³: 5.715

Cell: 6.0110 6.0110 5.8349 Å, 90.00 90.00 120.00°
Last column: nearest neighbours and their distance in Å.
Atoms (fractional coordinates):
Y1 0.5000 0.5000 0.5000  4 Y 3.01
Y2 0.6667 0.3333 0.0000  9 Y 3.39-3.47, 3 W 3.47
Y3 0.3333 0.6667 0.0000  9 Y 3.39-3.47, 3 W 3.47
Y4 0.0000 0.5000 0.5000  4 Y 3.01
Y5 0.5000 0.0000 0.5000  4 Y 3.01
W1 0.0000 0.0000 0.0000  6 Y 3.47